A relaxed structure of FeP2Pb. Source: OQMD via LeMat-Bulk, functional PBE-GGA.

abc: 6.6842 6.6842 6.6842
angles: 129.39 129.39 74.38
Element x y z (fractional)
1 P 0.5223 0.1250 0.8973
2 Pb 0.0000 0.0000 0.0000
3 Pb 0.7500 0.2500 0.5000
4 P 0.3750 0.4777 0.6027
5 P 0.2277 0.6250 0.1027
6 P 0.8750 0.7723 0.3973
7 Fe 0.2500 0.7500 0.5000
8 Fe 0.5000 0.5000 0.0000

- electronic total energy (eV per atom) = -5.66
- space-group type = I-42d, No. 122